Density functional theory data (GGA-PBE) for NpNi9Rh2 after structural relaxation.

a = 8.228 Å, b = 8.228 Å, c = 8.228 Å
α = 33.70°, β = 33.70°, γ = 33.70°
Positions (direct):
Np 0.000 0.000 0.000
Ni 0.082 0.588 0.588
Ni 0.334 0.334 0.334
Ni 0.412 0.412 0.918
Ni 0.412 0.918 0.412
Ni 0.500 0.500 0.500
Ni 0.588 0.082 0.588
Ni 0.588 0.588 0.082
Ni 0.666 0.666 0.666
Ni 0.918 0.412 0.412
Rh 0.148 0.148 0.148
Rh 0.852 0.852 0.852

Computed properties:
- Space-group type: R-3m
- Crystal system: trigonal
- Uncorrected energy: -6.632 eV/atom

***

Density functional theory data (GGA-PBE) for NaTaAgPt2 after structural relaxation.

a = 4.947 Å, b = 4.947 Å, c = 4.345 Å
α = 90.00°, β = 90.00°, γ = 90.00°
Positions (direct):
Na 0.000 0.000 0.000
Ta 0.500 0.500 0.000
Ag 0.000 0.000 0.500
Pt 0.000 0.500 0.500
Pt 0.500 0.000 0.500

Computed properties:
- Space-group type: P4/mmm
- Crystal system: tetragonal
- Uncorrected energy: -4.306 eV/atom

***

Density functional theory data (GGA-PBE) for BaNa3Tc after structural relaxation.

a = 5.755 Å, b = 5.755 Å, c = 5.755 Å
α = 90.00°, β = 90.00°, γ = 90.00°
Positions (direct):
Ba 0.000 0.000 0.000
Na 0.000 0.500 0.500
Na 0.500 0.000 0.500
Na 0.500 0.500 0.000
Tc 0.500 0.500 0.500

Computed properties:
- Space-group type: Pm-3m
- Crystal system: cubic
- Uncorrected energy: -2.330 eV/atom

***

Density functional theory data (GGA-PBE) for ScMoRh2 after structural relaxation.

a = 4.464 Å, b = 4.464 Å, c = 4.464 Å
α = 60.00°, β = 60.00°, γ = 60.00°
Positions (direct):
Sc 0.000 0.000 0.000
Mo 0.250 0.250 0.250
Rh 0.500 0.500 0.500
Rh 0.750 0.750 0.750

Computed properties:
- Space-group type: F-43m
- Crystal system: cubic
- Uncorrected energy: -8.124 eV/atom

***

Density functional theory data (GGA-PBE) for FeRhS after structural relaxation.

a = 3.971 Å, b = 3.619 Å, c = 5.528 Å
α = 90.00°, β = 100.77°, γ = 90.00°
Positions (direct):
Fe 0.234 0.250 0.468
Fe 0.766 0.750 0.532
Rh 0.235 0.250 0.960
Rh 0.765 0.750 0.040
S 0.312 0.750 0.702
S 0.688 0.250 0.298

Computed properties:
- Space-group type: P2_1/m
- Crystal system: monoclinic
- Uncorrected energy: -6.839 eV/atom

***

Density functional theory data (GGA-PBE) for Th2PaTl after structural relaxation.

a = 4.965 Å, b = 4.965 Å, c = 4.668 Å
α = 90.00°, β = 90.00°, γ = 90.00°
Positions (direct):
Th 0.000 0.500 0.000
Th 0.500 0.000 0.000
Pa 0.000 0.000 0.500
Tl 0.500 0.500 0.500

Computed properties:
- Space-group type: P4/mmm
- Crystal system: tetragonal
- Uncorrected energy: -6.604 eV/atom

***

Density functional theory data (GGA-PBE) for ZnOs3 after structural relaxation.

a = 3.859 Å, b = 3.859 Å, c = 3.859 Å
α = 90.00°, β = 90.00°, γ = 90.00°
Positions (direct):
Zn 0.000 0.000 0.000
Os 0.000 0.500 0.500
Os 0.500 0.000 0.500
Os 0.500 0.500 0.000

Computed properties:
- Space-group type: Pm-3m
- Crystal system: cubic
- Uncorrected energy: -8.187 eV/atom

***

Density functional theory data (GGA-PBE) for TaTl2AgH after structural relaxation.

a = 5.303 Å, b = 5.303 Å, c = 3.316 Å
α = 90.00°, β = 90.00°, γ = 90.00°
Positions (direct):
Ta 0.000 0.000 0.000
Tl 0.000 0.500 0.500
Tl 0.500 0.000 0.500
Ag 0.500 0.500 0.000
H 0.500 0.500 0.500

Computed properties:
- Space-group type: P4/mmm
- Crystal system: tetragonal
- Uncorrected energy: -3.936 eV/atom

***

Density functional theory data (GGA-PBE) for Zr2MoAs after structural relaxation.

a = 3.482 Å, b = 3.482 Å, c = 6.238 Å
α = 90.00°, β = 90.00°, γ = 90.00°
Positions (direct):
Zr 0.000 0.000 0.000
Zr 0.500 0.500 0.293
Mo 0.500 0.500 0.736
As 0.000 0.000 0.534

Computed properties:
- Space-group type: P4mm
- Crystal system: tetragonal
- Uncorrected energy: -8.419 eV/atom

***

Density functional theory data (GGA-PBE) for LaPr2Mg2Ga2 after structural relaxation.

a = 9.570 Å, b = 9.570 Å, c = 9.570 Å
α = 29.45°, β = 29.45°, γ = 29.45°
Positions (direct):
La 0.000 0.000 0.000
Pr 0.130 0.130 0.130
Pr 0.870 0.870 0.870
Mg 0.402 0.402 0.402
Mg 0.598 0.598 0.598
Ga 0.262 0.262 0.262
Ga 0.738 0.738 0.738

Computed properties:
- Space-group type: R-3m
- Crystal system: trigonal
- Uncorrected energy: -3.695 eV/atom

***

Density functional theory data (GGA-PBE) for CsRb2Au after structural relaxation.

a = 8.397 Å, b = 8.397 Å, c = 11.564 Å
α = 90.00°, β = 90.00°, γ = 144.07°
Positions (direct):
Cs 0.079 0.921 0.750
Cs 0.921 0.079 0.250
Rb 0.345 0.655 0.569
Rb 0.345 0.655 0.931
Rb 0.655 0.345 0.069
Rb 0.655 0.345 0.431
Au 0.253 0.747 0.250
Au 0.747 0.253 0.750

Computed properties:
- Space-group type: Cmcm
- Crystal system: orthorhombic
- Uncorrected energy: -1.677 eV/atom

***

Density functional theory data (GGA-PBE) for ThCuIr2 after structural relaxation.

a = 5.323 Å, b = 5.323 Å, c = 5.323 Å
α = 49.32°, β = 49.32°, γ = 49.32°
Positions (direct):
Th 0.000 0.000 0.000
Cu 0.500 0.500 0.500
Ir 0.196 0.196 0.196
Ir 0.804 0.804 0.804

Computed properties:
- Space-group type: R-3m
- Crystal system: trigonal
- Uncorrected energy: -7.709 eV/atom

***

Density functional theory data (GGA-PBE) for Sr2MoRh after structural relaxation.

a = 5.759 Å, b = 5.759 Å, c = 5.759 Å
α = 137.08°, β = 126.75°, γ = 70.69°
Positions (direct):
Sr 0.220 0.220 0.000
Sr 0.780 0.780 0.000
Mo 0.500 0.000 0.500
Rh 0.000 0.500 0.500

Computed properties:
- Space-group type: Immm
- Crystal system: orthorhombic
- Uncorrected energy: -4.595 eV/atom

***

Density functional theory data (GGA-PBE) for CaY3As4 after structural relaxation.

a = 7.203 Å, b = 8.327 Å, c = 7.181 Å
α = 90.00°, β = 109.56°, γ = 90.00°
Positions (direct):
Ca 0.000 0.124 0.250
Ca 0.000 0.876 0.750
Y 0.000 0.374 0.750
Y 0.000 0.626 0.250
Y 0.500 0.124 0.750
Y 0.500 0.374 0.250
Y 0.500 0.626 0.750
Y 0.500 0.876 0.250
As 0.252 0.379 0.504
As 0.252 0.621 0.004
As 0.258 0.129 0.999
As 0.258 0.871 0.499
As 0.742 0.129 0.501
As 0.742 0.871 0.001
As 0.748 0.379 0.996
As 0.748 0.621 0.496

Computed properties:
- Space-group type: P2/c
- Crystal system: monoclinic
- Uncorrected energy: -6.388 eV/atom

***

Density functional theory data (GGA-PBE) for KTbOs2O8 after structural relaxation.

a = 6.004 Å, b = 6.004 Å, c = 7.647 Å
α = 90.00°, β = 90.00°, γ = 120.00°
Positions (direct):
K 0.000 0.000 0.000
Tb 0.000 0.000 0.500
Os 0.333 0.667 0.769
Os 0.667 0.333 0.231
O 0.167 0.338 0.686
O 0.171 0.833 0.686
O 0.333 0.667 0.000
O 0.338 0.171 0.314
O 0.662 0.829 0.686
O 0.667 0.333 0.000
O 0.829 0.167 0.314
O 0.833 0.662 0.314

Computed properties:
- Space-group type: P-3
- Crystal system: trigonal
- Uncorrected energy: -7.197 eV/atom

***

Density functional theory data (GGA-PBE) for CuOsRu2 after structural relaxation.

a = 2.726 Å, b = 2.726 Å, c = 7.373 Å
α = 90.00°, β = 90.00°, γ = 90.00°
Positions (direct):
Cu 0.000 0.000 0.000
Os 0.000 0.000 0.500
Ru 0.500 0.500 0.247
Ru 0.500 0.500 0.753

Computed properties:
- Space-group type: P4/mmm
- Crystal system: tetragonal
- Uncorrected energy: -8.257 eV/atom

***

Density functional theory data (GGA-PBE) for Li2CaLaCd4 after structural relaxation.

a = 9.152 Å, b = 9.152 Å, c = 9.152 Å
α = 32.81°, β = 32.81°, γ = 32.81°
Positions (direct):
Li 0.249 0.249 0.249
Li 0.751 0.751 0.751
Ca 0.500 0.500 0.500
La 0.000 0.000 0.000
Cd 0.124 0.124 0.124
Cd 0.379 0.379 0.379
Cd 0.621 0.621 0.621
Cd 0.876 0.876 0.876

Computed properties:
- Space-group type: R-3m
- Crystal system: trigonal
- Uncorrected energy: -2.055 eV/atom

***

Density functional theory data (GGA-PBE) for Sn2BiTeC after structural relaxation.

a = 6.010 Å, b = 6.010 Å, c = 4.112 Å
α = 90.00°, β = 90.00°, γ = 90.00°
Positions (direct):
Sn 0.000 0.500 0.000
Sn 0.500 0.000 0.000
Bi 0.000 0.000 0.500
Te 0.500 0.500 0.000
C 0.500 0.500 0.500

Computed properties:
- Space-group type: P4/mmm
- Crystal system: tetragonal
- Uncorrected energy: -3.656 eV/atom

***

Density functional theory data (GGA-PBE) for Na3CaCu after structural relaxation.

a = 5.533 Å, b = 5.533 Å, c = 5.533 Å
α = 90.00°, β = 90.00°, γ = 90.00°
Positions (direct):
Na 0.000 0.000 0.500
Na 0.000 0.500 0.000
Na 0.500 0.000 0.000
Ca 0.500 0.500 0.500
Cu 0.000 0.000 0.000

Computed properties:
- Space-group type: Pm-3m
- Crystal system: cubic
- Uncorrected energy: -1.726 eV/atom

***

Density functional theory data (GGA-PBE) for RbCaCd2Pt after structural relaxation.

a = 5.445 Å, b = 5.445 Å, c = 5.429 Å
α = 90.00°, β = 90.00°, γ = 90.00°
Positions (direct):
Rb 0.000 0.000 0.000
Ca 0.500 0.500 0.000
Cd 0.000 0.500 0.500
Cd 0.500 0.000 0.500
Pt 0.500 0.500 0.500

Computed properties:
- Space-group type: P4/mmm
- Crystal system: tetragonal
- Uncorrected energy: -2.480 eV/atom

***

Density functional theory data (GGA-PBE) for Ce5Tl4Pb after structural relaxation.

a = 4.177 Å, b = 4.177 Å, c = 16.811 Å
α = 90.00°, β = 90.00°, γ = 90.00°
Positions (direct):
Ce 0.000 0.000 0.000
Ce 0.000 0.000 0.200
Ce 0.000 0.000 0.402
Ce 0.000 0.000 0.598
Ce 0.000 0.000 0.800
Tl 0.500 0.500 0.100
Tl 0.500 0.500 0.299
Tl 0.500 0.500 0.701
Tl 0.500 0.500 0.900
Pb 0.500 0.500 0.500

Computed properties:
- Space-group type: P4/mmm
- Crystal system: tetragonal
- Uncorrected energy: -4.541 eV/atom

***

Density functional theory data (GGA-PBE) for FeAgIr2 after structural relaxation.

a = 2.725 Å, b = 2.725 Å, c = 7.787 Å
α = 90.00°, β = 90.00°, γ = 90.00°
Positions (direct):
Fe 0.000 0.000 0.000
Ag 0.000 0.000 0.500
Ir 0.500 0.500 0.217
Ir 0.500 0.500 0.783

Computed properties:
- Space-group type: P4/mmm
- Crystal system: tetragonal
- Uncorrected energy: -7.068 eV/atom

***

Density functional theory data (GGA-PBE) for KCo4As after structural relaxation.

a = 5.043 Å, b = 5.043 Å, c = 5.043 Å
α = 60.00°, β = 60.00°, γ = 60.00°
Positions (direct):
K 0.000 0.000 0.000
Co 0.376 0.376 0.376
Co 0.376 0.376 0.871
Co 0.376 0.871 0.376
Co 0.871 0.376 0.376
As 0.750 0.750 0.750

Computed properties:
- Space-group type: F-43m
- Crystal system: cubic
- Uncorrected energy: -5.051 eV/atom

***

Density functional theory data (GGA-PBE) for CaDy2Ho after structural relaxation.

a = 12.686 Å, b = 12.686 Å, c = 12.686 Å
α = 16.02°, β = 16.02°, γ = 16.02°
Positions (direct):
Ca 0.000 0.000 0.000
Dy 0.092 0.092 0.092
Dy 0.908 0.908 0.908
Ho 0.500 0.500 0.500

Computed properties:
- Space-group type: R-3m
- Crystal system: trigonal
- Uncorrected energy: -3.788 eV/atom

***

Density functional theory data (GGA-PBE) for LiSc5Hg3 after structural relaxation.

a = 8.585 Å, b = 8.585 Å, c = 6.185 Å
α = 90.00°, β = 90.00°, γ = 120.00°
Positions (direct):
Li 0.000 0.000 0.000
Li 0.000 0.000 0.500
Sc 0.000 0.312 0.250
Sc 0.000 0.688 0.750
Sc 0.312 0.000 0.250
Sc 0.312 0.312 0.750
Sc 0.333 0.667 0.000
Sc 0.333 0.667 0.500
Sc 0.667 0.333 0.000
Sc 0.667 0.333 0.500
Sc 0.688 0.000 0.750
Sc 0.688 0.688 0.250
Hg 0.000 0.353 0.750
Hg 0.000 0.647 0.250
Hg 0.353 0.000 0.750
Hg 0.353 0.353 0.250
Hg 0.647 0.000 0.250
Hg 0.647 0.647 0.750

Computed properties:
- Space-group type: P6_3/mcm
- Crystal system: hexagonal
- Uncorrected energy: -4.131 eV/atom

***

Density functional theory data (GGA-PBE) for TeAs2Pt2 after structural relaxation.

a = 6.473 Å, b = 6.473 Å, c = 6.473 Å
α = 142.33°, β = 142.33°, γ = 54.33°
Positions (direct):
Te 0.000 0.000 0.000
As 0.250 0.750 0.500
As 0.750 0.250 0.500
Pt 0.383 0.383 0.000
Pt 0.617 0.617 0.000

Computed properties:
- Space-group type: I4/mmm
- Crystal system: tetragonal
- Uncorrected energy: -4.969 eV/atom

***

Total magnetic moment, respectively: 0.63, 0.00, 0.44, 0.00, 0.00, 0.00, 0.00, 0.15, 0.00, 0.00, 0.00, 0.00, 0.80, 0.00, 0.34, 0.00, 0.00, 0.00, 0.00, 0.00, 0.63, 0.37, 1.26, 0.00, 0.00, 0.00 μB per atom.